1.
# TiTlS3, relaxed, DFT GGA-PBEsol
data_TiTlS3
_chemical_formula_sum 'Ti1 Tl1 S3'
_symmetry_space_group_name_H-M 'P m -3 m'
_symmetry_Int_Tables_number 221
_symmetry_space_group_name_Hall '-P 4 2 3'
_cell_length_a 4.7274
_cell_length_b 4.7274
_cell_length_c 4.7274
_cell_angle_alpha 90.00
_cell_angle_beta 90.00
_cell_angle_gamma 90.00
loop_
_atom_site_label
_atom_site_type_symbol
_atom_site_fract_x
_atom_site_fract_y
_atom_site_fract_z
Ti1 Ti 0.0000 0.0000 0.0000
Tl1 Tl 0.5000 0.5000 0.5000
S1 S 0.0000 0.0000 0.5000
# - total magnetic moment (μB/f.u.) = 0.000
# - E (eV/f.u.) = -27.61
# - formation energy without anion corrections (eV per atom) = -0.70

=====

2.
# MnIrN2O, relaxed, DFT GGA-PBEsol
data_MnIrN2O
_chemical_formula_sum 'Mn1 Ir1 N2 O1'
_symmetry_space_group_name_H-M 'P 4/m m m'
_symmetry_Int_Tables_number 123
_symmetry_space_group_name_Hall '-P 4 2'
_cell_length_a 3.7119
_cell_length_b 3.7119
_cell_length_c 3.4504
_cell_angle_alpha 90.00
_cell_angle_beta 90.00
_cell_angle_gamma 90.00
loop_
_atom_site_label
_atom_site_type_symbol
_atom_site_fract_x
_atom_site_fract_y
_atom_site_fract_z
Mn1 Mn 0.0000 0.0000 0.0000
Ir1 Ir 0.5000 0.5000 0.5000
N1 N 0.0000 0.5000 0.0000
O1 O 0.0000 0.0000 0.5000
# - total magnetic moment (μB/f.u.) = 0.002
# - E (eV/f.u.) = -37.66
# - formation energy without anion corrections (eV per atom) = 0.84

=====

3.
# Cd2HgPb, relaxed, DFT GGA-PBEsol
data_Cd2HgPb
_chemical_formula_sum 'Cd2 Hg1 Pb1'
_symmetry_space_group_name_H-M 'P 4/m m m'
_symmetry_Int_Tables_number 123
_symmetry_space_group_name_Hall '-P 4 2'
_cell_length_a 5.3891
_cell_length_b 5.3891
_cell_length_c 3.3210
_cell_angle_alpha 90.00
_cell_angle_beta 90.00
_cell_angle_gamma 90.00
loop_
_atom_site_label
_atom_site_type_symbol
_atom_site_fract_x
_atom_site_fract_y
_atom_site_fract_z
Cd1 Cd 0.0000 0.5000 0.0000
Hg1 Hg 0.0000 0.0000 0.5000
Pb1 Pb 0.5000 0.5000 0.5000
# - total magnetic moment (μB/f.u.) = 0.000
# - E (eV/f.u.) = -6.70
# - ΔE to the lowest computed polymorph (kJ per mole of atoms) = 3.1
# - energy of formation from the pure elements (kJ/mol of atoms) = 6.2

=====

4.
# YSc2Cr, relaxed, DFT GGA-PBEsol
data_YSc2Cr
_chemical_formula_sum 'Y1 Sc2 Cr1'
_symmetry_space_group_name_H-M 'P 4 m m'
_symmetry_Int_Tables_number 99
_cell_length_a 3.3594
_cell_length_b 3.3594
_cell_length_c 7.9034
_cell_angle_alpha 90.00
_cell_angle_beta 90.00
_cell_angle_gamma 90.00
loop_
_symmetry_equiv_pos_as_xyz
'x,y,z'
'-y,x,z'
'-x,-y,z'
'y,-x,z'
'-x,y,z'
'y,x,z'
'x,-y,z'
'-y,-x,z'
loop_
_atom_site_label
_atom_site_type_symbol
_atom_site_fract_x
_atom_site_fract_y
_atom_site_fract_z
Y1 Y 0.0000 0.0000 0.0000
Sc1 Sc 0.0000 0.0000 0.4190
Sc2 Sc 0.5000 0.5000 0.6914
Cr1 Cr 0.5000 0.5000 0.2290
# - total magnetic moment (μB/f.u.) = 3.416
# - E (eV/f.u.) = -29.16
# - ΔE to the lowest computed polymorph (kJ per mole of atoms) = 4.7
# - energy of formation from the pure elements (kJ/mol of atoms) = 26.9

=====

5.
# YSi2Ru2, relaxed, DFT GGA-PBEsol
data_YSi2Ru2
_chemical_formula_sum 'Y2 Si4 Ru4'
_symmetry_space_group_name_H-M 'I 4/m m m'
_symmetry_Int_Tables_number 139
_symmetry_space_group_name_Hall '-I 4 2'
_cell_length_a 4.1073
_cell_length_b 4.1073
_cell_length_c 9.7804
_cell_angle_alpha 90.00
_cell_angle_beta 90.00
_cell_angle_gamma 90.00
loop_
_atom_site_label
_atom_site_type_symbol
_atom_site_fract_x
_atom_site_fract_y
_atom_site_fract_z
Y1 Y 0.0000 0.0000 0.0000
Si1 Si 0.0000 0.5000 0.2500
Ru1 Ru 0.0000 0.0000 0.3768
# - total magnetic moment (μB/f.u.) = 0.000
# - E (eV/f.u.) = -41.71
# - formation energy without anion corrections (eV per atom) = -0.61

=====

6.
# Ba6Co6O16F, relaxed, DFT GGA-PBEsol
data_Ba6Co6O16F
_chemical_formula_sum 'Ba12 Co12 O32 F2'
_symmetry_space_group_name_H-M 'A m m 2'
_symmetry_Int_Tables_number 38
_cell_length_a 14.1563
_cell_length_b 5.6466
_cell_length_c 9.7473
_cell_angle_alpha 90.00
_cell_angle_beta 90.00
_cell_angle_gamma 90.00
loop_
_symmetry_equiv_pos_as_xyz
'x,y,z'
'-x,-y,z'
'-x,y,z'
'x,-y,z'
'x,y+1/2,z+1/2'
'-x,-y+1/2,z+1/2'
'-x,y+1/2,z+1/2'
'x,-y+1/2,z+1/2'
loop_
_atom_site_label
_atom_site_type_symbol
_atom_site_fract_x
_atom_site_fract_y
_atom_site_fract_z
Ba1 Ba 0.0000 0.0000 0.0000
Ba2 Ba 0.1477 0.0000 0.3342
Ba3 Ba 0.3109 0.0000 0.0054
Ba4 Ba 0.5000 0.0000 0.6921
Co1 Co 0.0837 0.0000 0.6668
Co2 Co 0.2576 0.0000 0.6711
Co3 Co 0.3770 0.0000 0.3381
O1 O 0.0000 0.0000 0.5167
O2 O 0.0000 0.2245 0.7411
O3 O 0.1676 0.0000 0.8147
O4 O 0.1697 0.2187 0.5944
O5 O 0.3316 0.2365 0.7539
O6 O 0.3398 0.0000 0.5151
O7 O 0.5000 0.0000 0.2875
F1 F 0.5000 0.0000 0.9623
# - total magnetic moment (μB/f.u.) = 8.027
# - E (eV/f.u.) = -200.40
# - formation energy without anion corrections (eV per atom) = -1.90

=====

7.
# CaIn2BIr, relaxed, DFT GGA-PBEsol
data_CaIn2BIr
_chemical_formula_sum 'Ca1 In2 B1 Ir1'
_symmetry_space_group_name_H-M 'P 4/m m m'
_symmetry_Int_Tables_number 123
_symmetry_space_group_name_Hall '-P 4 2'
_cell_length_a 5.3619
_cell_length_b 5.3619
_cell_length_c 4.2405
_cell_angle_alpha 90.00
_cell_angle_beta 90.00
_cell_angle_gamma 90.00
loop_
_atom_site_label
_atom_site_type_symbol
_atom_site_fract_x
_atom_site_fract_y
_atom_site_fract_z
Ca1 Ca 0.0000 0.0000 0.0000
In1 In 0.0000 0.5000 0.0000
B1 B 0.0000 0.0000 0.5000
Ir1 Ir 0.5000 0.5000 0.5000
# - total magnetic moment (μB/f.u.) = 0.333
# - E (eV/f.u.) = -14.27
# - energy of formation from the pure elements (kJ/mol of atoms) = 205.9

=====

8.
# HgPt2W, relaxed, DFT GGA-PBEsol
data_HgPt2W
_chemical_formula_sum 'Hg1 Pt2 W1'
_symmetry_space_group_name_H-M 'P 4/m m m'
_symmetry_Int_Tables_number 123
_symmetry_space_group_name_Hall '-P 4 2'
_cell_length_a 2.8109
_cell_length_b 2.8109
_cell_length_c 8.2247
_cell_angle_alpha 90.00
_cell_angle_beta 90.00
_cell_angle_gamma 90.00
loop_
_atom_site_label
_atom_site_type_symbol
_atom_site_fract_x
_atom_site_fract_y
_atom_site_fract_z
Hg1 Hg 0.0000 0.0000 0.0000
Pt1 Pt 0.5000 0.5000 0.2744
W1 W 0.0000 0.0000 0.5000
# - total magnetic moment (μB/f.u.) = 0.000
# - E (eV/f.u.) = -29.09
# - energy of formation from the pure elements (kJ/mol of atoms) = -19.0

=====

9.
# Be2RePb, relaxed, DFT GGA-PBEsol
data_Be2RePb
_chemical_formula_sum 'Be4 Re2 Pb2'
_symmetry_space_group_name_H-M 'I -4 m 2'
_symmetry_Int_Tables_number 119
_symmetry_space_group_name_Hall 'I -4 -2'
_cell_length_a 3.6224
_cell_length_b 3.6224
_cell_length_c 8.3859
_cell_angle_alpha 90.00
_cell_angle_beta 90.00
_cell_angle_gamma 90.00
loop_
_atom_site_label
_atom_site_type_symbol
_atom_site_fract_x
_atom_site_fract_y
_atom_site_fract_z
Be1 Be 0.0000 0.0000 0.0000
Be2 Be 0.0000 0.5000 0.2500
Re1 Re 0.0000 0.5000 0.7500
Pb1 Pb 0.0000 0.0000 0.5000
# - total magnetic moment (μB/f.u.) = 0.499
# - E (eV/f.u.) = -22.90
# - energy of formation from the pure elements (kJ/mol of atoms) = 58.7

=====

10.
# BeSn2OsBr, relaxed, DFT GGA-PBEsol
data_BeSn2OsBr
_chemical_formula_sum 'Be1 Sn2 Os1 Br1'
_symmetry_space_group_name_H-M 'P 4/m m m'
_symmetry_Int_Tables_number 123
_symmetry_space_group_name_Hall '-P 4 2'
_cell_length_a 4.8591
_cell_length_b 4.8591
_cell_length_c 4.3920
_cell_angle_alpha 90.00
_cell_angle_beta 90.00
_cell_angle_gamma 90.00
loop_
_atom_site_label
_atom_site_type_symbol
_atom_site_fract_x
_atom_site_fract_y
_atom_site_fract_z
Be1 Be 0.0000 0.0000 0.0000
Sn1 Sn 0.0000 0.5000 0.0000
Os1 Os 0.5000 0.5000 0.5000
Br1 Br 0.0000 0.0000 0.5000
# - total magnetic moment (μB/f.u.) = 1.882
# - E (eV/f.u.) = -20.44
# - formation energy without anion corrections (eV per atom) = 1.23

=====

11.
# AsPRh2, relaxed, DFT GGA-PBEsol
data_AsPRh2
_chemical_formula_sum 'As2 P2 Rh4'
_symmetry_space_group_name_H-M 'C m m m'
_symmetry_Int_Tables_number 65
_symmetry_space_group_name_Hall '-C 2 2'
_cell_length_a 6.0066
_cell_length_b 6.0285
_cell_length_c 3.0319
_cell_angle_alpha 90.00
_cell_angle_beta 90.00
_cell_angle_gamma 90.00
loop_
_atom_site_label
_atom_site_type_symbol
_atom_site_fract_x
_atom_site_fract_y
_atom_site_fract_z
As1 As 0.0000 0.0000 0.0000
P1 P 0.0000 0.5000 0.0000
Rh1 Rh 0.2500 0.2500 0.5000
# - total magnetic moment (μB/f.u.) = 0.002
# - E (eV/f.u.) = -27.90
# - ΔE to the lowest computed polymorph (kJ per mole of atoms) = 23.0
# - energy of formation from the pure elements (kJ/mol of atoms) = -17.4

=====

12.
# BaZrRh2, relaxed, DFT GGA-PBEsol
data_BaZrRh2
_chemical_formula_sum 'Ba1 Zr1 Rh2'
_symmetry_space_group_name_H-M 'P 4 m m'
_symmetry_Int_Tables_number 99
_cell_length_a 3.5905
_cell_length_b 3.5905
_cell_length_c 7.2371
_cell_angle_alpha 90.00
_cell_angle_beta 90.00
_cell_angle_gamma 90.00
loop_
_symmetry_equiv_pos_as_xyz
'x,y,z'
'-y,x,z'
'-x,-y,z'
'y,-x,z'
'-x,y,z'
'y,x,z'
'x,-y,z'
'-y,-x,z'
loop_
_atom_site_label
_atom_site_type_symbol
_atom_site_fract_x
_atom_site_fract_y
_atom_site_fract_z
Ba1 Ba 0.0000 0.0000 0.0000
Zr1 Zr 0.5000 0.5000 0.5753
Rh1 Rh 0.0000 0.0000 0.4716
Rh2 Rh 0.5000 0.5000 0.2488
# - total magnetic moment (μB/f.u.) = 0.000
# - E (eV/f.u.) = -27.52
# - energy of formation from the pure elements (kJ/mol of atoms) = -0.2